No. 1
This record from Alexandria via LeMat-Bulk describes Ba2NiNCl after structural relaxation. The functional is PBE.

The space group is P4/mmm (No. 123) and the conventional cell measures 5.731, 5.731 and 3.626 Å, with angles of 90.00, 90.00 and 90.00 degrees. The distinct sites, in fractional coordinates, are Ba at (0.000, 0.500, 0.000), Ni at (0.000, 0.000, 0.500), N at (0.000, 0.000, 0.000) and Cl at (0.500, 0.500, 0.500).

The final energy comes out at -4.94 eV/atom. The energy relative to the elements, uncorrected is -473 kJ/mol of formula units.


No. 2
This record from Alexandria via LeMat-Bulk describes BeZnMo2 after structural relaxation. The functional is PBE.

The space group is Cm (No. 8) and the conventional cell measures 9.474, 2.661 and 4.551 Å, with angles of 90.00, 108.64 and 90.00 degrees. The distinct sites, in fractional coordinates, are Be at (0.000, 0.000, 0.000), Zn at (0.210, 0.500, 0.255), Mo at (0.264, 0.000, 0.794) and Mo at (0.475, 0.000, 0.490).

The final energy comes out at -6.50 eV/atom. The energy above the most stable polymorph in this dataset is 86 meV/atom.


No. 3
This record from Alexandria via LeMat-Bulk describes PmNpAuO6 after structural relaxation. The functional is PBE.

The space group is P-31c (No. 163) and the conventional cell measures 5.9236, 5.9236 and 8.8830 Å, with angles of 90.00, 90.00 and 120.00 degrees. The distinct sites, in fractional coordinates, are Pm at (0.3333, 0.6667, 0.2500), Np at (0.3333, 0.6667, 0.7500), Au at (0.0000, 0.0000, 0.0000) and O at (0.0419, 0.3757, 0.6304).

The final energy comes out at -7.64 eV/atom. The energy relative to the elements, uncorrected is -1745 kJ/mol of formula units.


No. 4
This record from Alexandria via LeMat-Bulk describes TlAgMo2 after structural relaxation. The functional is PBE.

The space group is Cmmm (No. 65) and the conventional cell measures 5.508, 9.166 and 2.827 Å, with angles of 90.00, 90.00 and 90.00 degrees. The distinct sites, in fractional coordinates, are Tl at (0.000, 0.000, 0.000), Ag at (0.000, 0.500, 0.000) and Mo at (0.250, 0.250, 0.500).

The final energy comes out at -6.03 eV/atom. The energy above the most stable polymorph in this dataset is 251 meV/atom.


No. 5
This record from Alexandria via LeMat-Bulk describes NaAc2Eu after structural relaxation. The functional is PBE.

The space group is R-3m (No. 166, hexagonal axes) and the conventional cell measures 3.8713, 3.8713 and 41.3425 Å, with angles of 90.00, 90.00 and 120.00 degrees. The distinct sites, in fractional coordinates, are Na at (0.0000, 0.0000, 0.0000), Ac at (0.0000, 0.0000, 0.0896) and Eu at (0.0000, 0.0000, 0.5000).

The final energy comes out at -4.79 eV/atom. The energy above the most stable polymorph in this dataset is 30 meV/atom.


No. 6
This record from Alexandria via LeMat-Bulk describes Rb4CaCe3Se8 after structural relaxation. The functional is PBE.

The space group is R-3m (No. 166, hexagonal axes) and the conventional cell measures 8.7635, 8.7635 and 23.8692 Å, with angles of 90.00, 90.00 and 120.00 degrees. The distinct sites, in fractional coordinates, are Rb at (0.0000, 0.0000, 0.0000), Rb at (0.0000, 0.5000, 0.0000), Ca at (0.0000, 0.0000, 0.5000), Ce at (0.0000, 0.5000, 0.5000), Se at (0.0000, 0.0000, 0.2329) and Se at (0.0070, 0.5035, 0.7677).

The final energy comes out at -4.90 eV/atom. The energy relative to the elements, uncorrected is -2588 kJ/mol of formula units.


No. 7
This record from Alexandria via LeMat-Bulk describes AlFeOs2 after structural relaxation. The functional is PBE.

The space group is I-4m2 (No. 119) and the conventional cell measures 3.776, 3.776 and 7.605 Å, with angles of 90.00, 90.00 and 90.00 degrees. The distinct sites, in fractional coordinates, are Al at (0.000, 0.000, 0.000), Fe at (0.000, 0.500, 0.750), Os at (0.000, 0.000, 0.500) and Os at (0.000, 0.500, 0.250).

The final energy comes out at -8.69 eV/atom.


No. 8
This record from Alexandria via LeMat-Bulk describes Al2ReSe after structural relaxation. The functional is PBE.

The space group is Cmm2 (No. 35) and the conventional cell measures 2.956, 4.959 and 9.702 Å, with angles of 90.00, 90.00 and 90.00 degrees. The distinct sites, in fractional coordinates, are Al at (0.000, 0.000, 0.000), Al at (0.000, 0.500, 0.245), Re at (0.000, 0.500, 0.776) and Se at (0.000, 0.000, 0.566).

The final energy comes out at -5.54 eV/atom. The energy relative to the elements, uncorrected is 120 kJ/mol of formula units.


No. 9
This record from Alexandria via LeMat-Bulk describes MgBeCo after structural relaxation. The functional is PBE.

The space group is I4mm (No. 107) and the conventional cell measures 2.850, 2.850 and 9.018 Å, with angles of 90.00, 90.00 and 90.00 degrees. The distinct sites, in fractional coordinates, are Mg at (0.000, 0.000, 0.000), Be at (0.000, 0.000, 0.713) and Co at (0.000, 0.000, 0.303).

The final energy comes out at -4.18 eV/atom. The energy above the most stable polymorph in this dataset is 0 meV/atom.


No. 10
This record from Alexandria via LeMat-Bulk describes Nd2Al4CuAu3 after structural relaxation. The functional is PBE.

The space group is P-4m2 (No. 115) and the conventional cell measures 4.371, 4.371 and 10.513 Å, with angles of 90.00, 90.00 and 90.00 degrees. The distinct sites, in fractional coordinates, are Nd at (0.000, 0.500, 0.244), Al at (0.000, 0.000, 0.500), Al at (0.000, 0.500, 0.874), Al at (0.500, 0.500, 0.500), Cu at (0.500, 0.500, 0.000), Au at (0.000, 0.000, 0.000) and Au at (0.000, 0.500, 0.634).

The final energy comes out at -4.51 eV/atom.


No. 11
This record from Alexandria via LeMat-Bulk describes Hf4SbO after structural relaxation. The functional is PBE.

The space group is C2/c (No. 15) and the conventional cell measures 7.645, 13.983 and 5.472 Å, with angles of 90.00, 120.64 and 90.00 degrees. The distinct sites, in fractional coordinates, are Hf at (0.099, 0.223, 0.073), Hf at (0.236, 0.420, 0.379), Sb at (0.000, 0.400, 0.750) and O at (0.000, 0.114, 0.250).

The final energy comes out at -8.94 eV/atom. The energy relative to the elements, uncorrected is -458 kJ/mol of formula units.


No. 12
This record from Alexandria via LeMat-Bulk describes Tl3GaW after structural relaxation. The functional is PBE.

The space group is Pm-3m (No. 221) and the conventional cell measures 5.405, 5.405 and 5.405 Å, with angles of 90.00, 90.00 and 90.00 degrees. The distinct sites, in fractional coordinates, are Tl at (0.000, 0.000, 0.500), Ga at (0.500, 0.500, 0.500) and W at (0.000, 0.000, 0.000).

The final energy comes out at -3.82 eV/atom. The energy above the most stable polymorph in this dataset is 0 meV/atom.


No. 13
This record from Alexandria via LeMat-Bulk describes KCa2La after structural relaxation. The functional is PBE.

The space group is Imm2 (No. 44) and the conventional cell measures 3.978, 6.645 and 13.439 Å, with angles of 90.00, 90.00 and 90.00 degrees. The distinct sites, in fractional coordinates, are K at (0.000, 0.000, 0.000), Ca at (0.000, 0.000, 0.507), Ca at (0.000, 0.500, 0.250) and La at (0.000, 0.500, 0.761).

The final energy comes out at -2.24 eV/atom. The energy above the most stable polymorph in this dataset is 145 meV/atom.